Record 1
A relaxed RbCaBr3 crystal, computed with PBE.

Lattice parameters (Å, degrees): 10.220 7.504 11.407 90.00 123.90 90.00
Fractional positions:
Rb  0.165  0.249  0.083
Rb  0.165  0.251  0.583
Rb  0.835  0.749  0.417
Rb  0.835  0.751  0.917
Ca  0.271  0.673  0.886
Ca  0.271  0.827  0.386
Ca  0.729  0.173  0.614
Ca  0.729  0.327  0.114
Br  0.026  0.524  0.261
Br  0.026  0.976  0.761
Br  0.263  0.746  0.631
Br  0.263  0.754  0.131
Br  0.391  0.208  0.446
Br  0.391  0.292  0.946
Br  0.609  0.708  0.054
Br  0.609  0.792  0.554
Br  0.737  0.246  0.869
Br  0.737  0.254  0.369
Br  0.974  0.024  0.239
Br  0.974  0.476  0.739

Uncorrected formation energy ... -1.89 eV per atom

Record 2
A relaxed RbCaBr3 crystal, computed with PBE.

Lattice parameters (Å, degrees): 9.087 9.087 10.075 94.30 94.30 27.77
Fractional positions:
Rb  0.102  0.102  0.404
Rb  0.898  0.898  0.596
Ca  0.310  0.310  0.164
Ca  0.690  0.690  0.836
Br  0.155  0.155  0.019
Br  0.250  0.250  0.677
Br  0.447  0.447  0.327
Br  0.553  0.553  0.673
Br  0.750  0.750  0.323
Br  0.845  0.845  0.981

Uncorrected formation energy ... -1.93 eV per atom

Record 3
A relaxed RbCaBr3 crystal, computed with PBE.

Lattice parameters (Å, degrees): 5.731 5.731 5.731 90.00 90.00 90.00
Fractional positions:
Rb  0.000  0.000  0.000
Ca  0.500  0.500  0.500
Br  0.000  0.500  0.500
Br  0.500  0.000  0.500
Br  0.500  0.500  0.000

Uncorrected formation energy ... -1.92 eV per atom

Which of these has the highest uncorrected formation energy? number 1